Computed, not measured: crystalline Li2MoAsO6 at its relaxed geometry at the PBE+U level of DFT.

Structure (CIF):
```
data_Li2MoAsO6
_cell_length_a 5.332
_cell_length_b 5.332
_cell_length_c 4.462
_cell_angle_alpha 90.00
_cell_angle_beta 90.00
_cell_angle_gamma 90.00
_symmetry_space_group_name_H-M 'P 4 m m'
_symmetry_Int_Tables_number 99
loop_
_symmetry_equiv_pos_as_xyz
'x,y,z'
'-y,x,z'
'-x,-y,z'
'y,-x,z'
'-x,y,z'
'y,x,z'
'x,-y,z'
'-y,-x,z'
loop_
_atom_site_label
_atom_site_fract_x
_atom_site_fract_y
_atom_site_fract_z
_atom_site_occupancy
Li1 0.000 0.500 0.000 1
Mo1 0.000 0.000 0.685 1
As1 0.500 0.500 0.677 1
O1 0.000 0.000 0.292 1
O2 0.248 0.248 0.801 1
O3 0.500 0.500 0.297 1
```

Properties
Its spin magnetization is 0.0 μB/f.u. The value obtained for the uncorrected energy is -60.10 eV per cell.